Record 1
Tl8TeF6 | GGA-PBE | relaxed

Cell lengths 8.0763, 8.0763, 8.0763 Å; angles 74.66, 74.66, 74.66 degrees
Closest atoms and distances in Å follow each position.
Fractional coordinates of all 15 atoms:
Tl 0.6572 0.2410 0.8403  2 F 2.46-2.54
F 0.7003 0.8518 0.4498  3 Tl 2.46-2.54
F 0.1482 0.5502 0.2997  3 Tl 2.46-2.54
F 0.8518 0.4498 0.7003  3 Tl 2.46-2.54
Tl 0.1597 0.3428 0.7590  2 F 2.46-2.54
F 0.4498 0.7003 0.8518  3 Tl 2.46-2.54
F 0.5502 0.2997 0.1482  3 Tl 2.46-2.54
Tl 0.2410 0.8403 0.6572  2 F 2.46-2.54
Te 0.0000 0.0000 0.0000  6 Tl 3.29
Tl 0.2492 0.2492 0.2492  3 F 2.46
Tl 0.7508 0.7508 0.7508  3 F 2.46
F 0.2997 0.1482 0.5502  3 Tl 2.46-2.54
Tl 0.8403 0.6572 0.2410  2 F 2.46-2.54
Tl 0.3428 0.7590 0.1597  2 F 2.46-2.54
Tl 0.7590 0.1597 0.3428  2 F 2.46-2.54

Output
formation energy (no corrections) = -1412 meV/atom
Fermi-level density of states = 0.0 states/eV/cell
final energy = -3.632 eV per atom
symmetry = No. 148

---

Record 2
Ba2Li5Ca | GGA-PBE | relaxed

Cell lengths 8.4434, 6.8797, 6.8797 Å; angles 104.51, 114.68, 114.68 degrees
Closest atoms and distances in Å follow each position.
Fractional coordinates of all 8 atoms:
Li 0.9958 0.8578 0.2263  3 Li 2.97-3.18
Li 0.6177 0.7653 0.7653  4 Li 3.08-3.20, 1 Ca 3.27
Ba 0.5095 0.8352 0.2249  7 Li 3.61-4.04
Ba 0.5095 0.2249 0.8352  7 Li 3.61-4.04
Ca 0.9223 0.6553 0.6553  5 Li 3.27-3.54
Li 0.3494 0.2626 0.2626  4 Li 2.97-3.16
Li 0.0998 0.3956 0.3956  4 Li 2.99-3.20
Li 0.9958 0.2263 0.8578  3 Li 2.97-3.18

Output
E_form = 74 meV per atom
Fermi-level density of states = 6.4 states/eV/cell
final energy = -1.853 eV per atom
symmetry = No. 8

---

Record 3
MnW2Au | GGA-PBE | relaxed

Cell lengths 4.8346, 4.8346, 4.8346 Å; angles 132.56, 132.56, 69.34 degrees
Closest atoms and distances in Å follow each position.
Fractional coordinates of all 4 atoms:
W 0.5000 0.5000 0.0000  4 W 2.75, 4 Mn 2.78, 4 Au 2.78
Mn 0.7500 0.2500 0.5000  4 Au 2.75, 8 W 2.78
W 0.0000 0.0000 0.0000  4 W 2.75, 4 Mn 2.78, 4 Au 2.78
Au 0.2500 0.7500 0.5000  4 Mn 2.75, 8 W 2.78

Output
E_form = 336 meV per atom
Fermi-level density of states = 2.6 states/eV/cell
final energy = -9.253 eV per atom
excess energy over the best structure of this formula in the dataset = 113.1 meV per atom
symmetry = No. 139

---

Record 4
La5Sm2Tl4 | GGA-PBE | relaxed

Cell lengths 3.5848, 7.7243, 14.7935 Å; angles 105.13, 96.96, 90.00 degrees
Closest atoms and distances in Å follow each position.
Fractional coordinates of all 11 atoms:
Tl 0.3880 0.3880 0.7759  4 La 3.55, 6 Tl 3.58-3.89
La 0.5000 0.0000 0.0000  4 Tl 3.08, 4 Sm 3.35
La 0.8023 0.5458 0.6047  1 Sm 3.41, 5 La 3.47-3.76, 2 Tl 3.55
Sm 0.9003 0.9003 0.8006  4 La 3.35-3.41, 2 Sm 3.58
Tl 0.0000 0.6763 0.0000  1 Tl 2.72
La 0.8023 0.0589 0.6047  1 Sm 3.41, 5 La 3.47-3.76, 2 Tl 3.55
Tl 0.0000 0.3237 0.0000  1 Tl 2.72
La 0.1977 0.4542 0.3953  1 Sm 3.41, 5 La 3.47-3.76, 2 Tl 3.55
La 0.1977 0.9411 0.3953  1 Sm 3.41, 5 La 3.47-3.76, 2 Tl 3.55
Tl 0.6120 0.6120 0.2241  4 La 3.55, 6 Tl 3.58-3.89
Sm 0.0997 0.0997 0.1994  4 La 3.35-3.41, 2 Sm 3.58

Output
E_form = 216 meV per atom
Fermi-level density of states = 16.3 states/eV/cell
final energy = -3.742 eV per atom
excess energy over the best structure of this formula in the dataset = 460.9 meV per atom
symmetry = No. 71

---

Question: final energy of number 2 (Ba2Li5Ca)?
Answer: -1.853 eV per atom

---

Please write out number 1 again, unchanged.
Tl8TeF6 | GGA-PBE | relaxed

Cell lengths 8.0763, 8.0763, 8.0763 Å; angles 74.66, 74.66, 74.66 degrees
Closest atoms and distances in Å follow each position.
Fractional coordinates of all 15 atoms:
Tl 0.6572 0.2410 0.8403  2 F 2.46-2.54
F 0.7003 0.8518 0.4498  3 Tl 2.46-2.54
F 0.1482 0.5502 0.2997  3 Tl 2.46-2.54
F 0.8518 0.4498 0.7003  3 Tl 2.46-2.54
Tl 0.1597 0.3428 0.7590  2 F 2.46-2.54
F 0.4498 0.7003 0.8518  3 Tl 2.46-2.54
F 0.5502 0.2997 0.1482  3 Tl 2.46-2.54
Tl 0.2410 0.8403 0.6572  2 F 2.46-2.54
Te 0.0000 0.0000 0.0000  6 Tl 3.29
Tl 0.2492 0.2492 0.2492  3 F 2.46
Tl 0.7508 0.7508 0.7508  3 F 2.46
F 0.2997 0.1482 0.5502  3 Tl 2.46-2.54
Tl 0.8403 0.6572 0.2410  2 F 2.46-2.54
Tl 0.3428 0.7590 0.1597  2 F 2.46-2.54
Tl 0.7590 0.1597 0.3428  2 F 2.46-2.54

Output
formation energy (no corrections) = -1412 meV/atom
Fermi-level density of states = 0.0 states/eV/cell
final energy = -3.632 eV per atom
symmetry = No. 148

---

Question: final energy of number 2 (Ba2Li5Ca)?
Answer: -1.853 eV per atom